# 1
16
Lattice="6.2740 0.0000 0.0000 0.0000 6.2740 0.0000 0.0000 0.0000 6.2740" Properties=species:S:1:pos:R:3 comment="LuBeNiAs, relaxed, DFT PBE" relative_energy_ev_per_atom=0.000 sg="F-43m (216)" e_tot_ry_per_atom=-0.35003 pbc="T T T"
Lu 0.0000 0.0000 0.0000
Lu 0.0000 3.1370 3.1370
Lu 3.1370 0.0000 3.1370
Lu 3.1370 3.1370 0.0000
Be 1.5685 1.5685 4.7055
Be 1.5685 4.7055 1.5685
Be 4.7055 1.5685 1.5685
Be 4.7055 4.7055 4.7055
Ni 0.0000 0.0000 3.1370
Ni 0.0000 3.1370 0.0000
Ni 3.1370 0.0000 0.0000
Ni 3.1370 3.1370 3.1370
As 1.5685 1.5685 1.5685
As 1.5685 4.7055 4.7055
As 4.7055 1.5685 4.7055
As 4.7055 4.7055 1.5685



# 2
6
Lattice="6.4105 0.0000 0.0000 -3.2052 5.5516 0.0000 0.0000 0.0000 5.6968" Properties=species:S:1:pos:R:3 comment="Pm3Er2In, relaxed, DFT PBE" sg="P6/mmm (191)" e_tot_ry_per_atom=-0.29101 pbc="T T T"
Pm -1.6026 2.7758 0.0000
Pm 3.2052 0.0000 0.0000
Pm 1.6026 2.7758 0.0000
Er 0.0000 3.7011 2.8484
Er 3.2052 1.8505 2.8484
In 0.0000 0.0000 2.8484



# 3
9
Lattice="4.2936 0.0000 0.0000 0.0000 6.3243 3.6571 0.0000 -6.3243 3.6571" Properties=species:S:1:pos:R:3 comment="Tb2DyAl3CuSn2, relaxed, DFT PBE" sg="Amm2 (38)" e_tot_ry_per_atom=-0.34157 pbc="T T T"
Tb 0.0000 -3.8737 3.6571
Tb 0.0000 3.8737 3.6571
Dy 0.0000 0.0000 4.2498
Al 2.1468 -1.4074 2.2332
Al 2.1468 1.4074 2.2332
Al 2.1468 0.0000 7.1090
Cu 0.0000 0.0000 1.4285
Sn 2.1468 -2.1013 5.0740
Sn 2.1468 2.1013 5.0740



# 4
24
Lattice="9.9704 0.0000 0.0000 0.0000 3.7506 0.0000 0.0000 0.0000 12.8527" Properties=species:S:1:pos:R:3 comment="Lu2AgS3, relaxed, DFT PBE" relative_energy_ev_per_atom=0.047 sg="Pnma (62)" e_tot_ry_per_atom=-0.39538 pbc="T T T"
Lu 0.2286 0.9377 3.1698
Lu 2.1728 2.8130 6.7516
Lu 2.8124 0.9377 0.3252
Lu 4.7566 2.8130 9.5962
Lu 5.2138 0.9377 3.2566
Lu 7.1580 2.8130 12.5275
Lu 7.7976 0.9377 6.1011
Lu 9.7418 2.8130 9.6829
Ag 2.2690 0.9377 9.4910
Ag 2.7162 2.8130 3.0646
Ag 7.2542 0.9377 9.7881
Ag 7.7014 2.8130 3.3617
S 0.3796 0.9377 7.7731
S 0.9281 2.8130 1.3432
S 2.3552 2.8130 11.2023
S 2.6300 0.9377 4.7760
S 4.0571 0.9377 7.7695
S 4.6056 2.8130 1.3468
S 5.3648 0.9377 11.5059
S 5.9133 2.8130 5.0832
S 7.3404 2.8130 8.0767
S 7.6152 0.9377 1.6504
S 9.0423 0.9377 11.5095
S 9.5908 2.8130 5.0796